Here is Na2Sc2GeO6 after structural relaxation from the Alexandria database. Energies are from PBE.

a = 5.3544 Å, b = 5.3544 Å, c = 5.8308 Å
α = 98.31°, β = 98.31°, γ = 119.68°
Fractional coordinates of all 11 atoms:
Sc 0.3342 0.6658 0.5000
Na 0.8373 0.1627 0.0000
O 0.9465 0.6290 0.3104
O 0.6290 0.9465 0.3104
O 0.0535 0.3710 0.6896
Na 0.1627 0.8373 0.0000
Sc 0.6658 0.3342 0.5000
O 0.3710 0.0535 0.6896
Ge 0.0000 0.0000 0.5000
O 0.2410 0.2410 0.3134
O 0.7590 0.7590 0.6866

Values from the calculation:
Calculated total energy, eV/atom: -7.01
Magnetization, μB/cell: 0.00
E_form (uncorrected), eV/atom: -2.498
SG: C2/m